Entry 1:
The following is a DFT calculation (GGA-PBE) of a relaxed structure of La4CoHBr2.

Its total energy is -40.02 eV/cell. Its space group is P2/m.

Cell lengths 3.9984, 6.8197, 8.1287 Å; angles 106.33, 90.00, 90.00 degrees
Each line ends with the local moment (μB).
Fractional positions:
La  0.5000  0.2331  0.1988  0.06
La  0.5000  0.7669  0.8012  0.06
La  0.0000  0.2641  0.8062  0.01
La  0.0000  0.7359  0.1938  0.01
Co  0.5000  0.5000  0.0000  0.07
H  0.0000  0.0000  0.0000  0.00
Br  0.5000  0.0000  0.5000  0.00
Br  0.0000  0.5000  0.5000  0.00


Entry 2:
The following is a DFT calculation (GGA-PBE) of a relaxed structure of Mg2BeBF.

Its total energy is -17.09 eV/cell. Its space group is P4/mmm. The value obtained for the formation energy from raw total energies is -31 kJ per mole of atoms.

Cell lengths 4.6296, 3.3648, 4.6296 Å; angles 90.00, 90.00, 90.00 degrees
Fractional positions:
Be  0.0000  0.0000  0.0000
Mg  0.0000  0.0000  0.5000
Mg  0.5000  0.0000  0.0000
B  0.0000  0.5000  0.0000
F  0.5000  0.5000  0.5000


Entry 3:
The following is a DFT calculation (GGA-PBE) of a relaxed structure of InCu2Cl.

Its total energy is -12.03 eV/cell. Its space group is Cmmm. The energy above the lowest structure with this stoichiometry is 0.283 eV per atom. The value obtained for the formation energy from raw total energies is 18 kJ per mole of atoms.

Cell lengths 4.9065, 4.9065, 3.1720 Å; angles 90.00, 90.00, 112.25 degrees
Fractional positions:
Cl  0.0000  0.5000  0.5000
Cu  0.0000  0.0000  0.0000
Cu  0.5000  0.5000  0.0000
In  0.5000  0.0000  0.5000


Entry 4:
The following is a DFT calculation (GGA-PBE) of a relaxed structure of IrPtRh4.

Its total energy is -42.97 eV/cell. Its space group is Immm. The energy above the lowest structure with this stoichiometry is 0.042 eV per atom. The formation energy comes out at 223 meV/atom.

Cell lengths 4.1059, 5.2740, 5.2740 Å; angles 100.17, 67.09, 67.09 degrees
Fractional positions:
Ir  0.5000  0.5000  0.5000
Pt  0.0000  0.0000  0.0000
Rh  0.2520  0.4067  0.0894
Rh  0.2520  0.0894  0.4067
Rh  0.7480  0.5933  0.9106
Rh  0.7480  0.9106  0.5933


Entry 5:
The following is a DFT calculation (GGA-PBE) of a relaxed structure of Sm2ZrGa2Rh5.

Its total energy is -137.72 eV/cell. Its space group is P4/mbm. The formation energy comes out at -806 meV/atom.

Cell lengths 3.5818, 10.0329, 10.0329 Å; angles 90.00, 90.00, 90.00 degrees
Fractional positions:
Sm  0.0000  0.6732  0.1732
Sm  0.0000  0.3268  0.8268
Sm  0.0000  0.1732  0.3268
Sm  0.0000  0.8268  0.6732
Zr  0.0000  0.0000  0.0000
Zr  0.0000  0.5000  0.5000
Ga  0.0000  0.1239  0.6239
Ga  0.0000  0.8761  0.3761
Ga  0.0000  0.6239  0.8761
Ga  0.0000  0.3761  0.1239
Rh  0.5000  0.2073  0.0673
Rh  0.5000  0.7927  0.9327
Rh  0.5000  0.0673  0.7927
Rh  0.5000  0.7073  0.4327
Rh  0.5000  0.9327  0.2073
Rh  0.5000  0.2927  0.5673
Rh  0.5000  0.5673  0.7073
Rh  0.5000  0.4327  0.2927
Rh  0.5000  0.5000  0.0000
Rh  0.5000  0.0000  0.5000


Entry 6:
The following is a DFT calculation (GGA-PBE) of a relaxed structure of Li2NiCl.

Its total energy is -12.83 eV/cell. Its space group is Cm. The energy above the lowest structure with this stoichiometry is 0.158 eV per atom. The value obtained for the formation energy from raw total energies is -33 kJ per mole of atoms.

Cell lengths 5.9243, 5.9243, 3.7564 Å; angles 71.80, 71.80, 29.33 degrees
Fractional positions:
Cl  0.7837  0.7837  0.7188
Li  0.0377  0.0377  0.9610
Li  0.2174  0.2174  0.2845
Ni  0.4613  0.4613  0.5358


Entry 7:
The following is a DFT calculation (GGA-PBE) of a relaxed structure of CeEuYAl.

Its total energy is -26.45 eV/cell. Its space group is F-43m. The formation energy comes out at -9 meV/atom.

Cell lengths 5.4146, 5.4146, 5.4146 Å; angles 60.00, 60.00, 60.00 degrees
Each line ends with the local moment (μB).
Fractional positions:
Eu  0.5000  0.5000  0.5000  7.00
Y  0.7500  0.7500  0.7500  0.22
Al  0.0000  0.0000  0.0000  -0.04
Ce  0.2500  0.2500  0.2500  0.96


Entry 8:
The following is a DFT calculation (GGA-PBE) of a relaxed structure of La2PmP3Pt12.

Its total energy is -112.26 eV/cell. Its space group is R-3m. The formation energy comes out at -496 meV/atom.

Cell lengths 7.8098, 7.8098, 7.8098 Å; angles 64.49, 64.49, 64.49 degrees
Fractional positions:
La  0.6013  0.6013  0.6013
La  0.3987  0.3987  0.3987
Pm  0.0000  0.0000  0.0000
P  0.5000  0.0000  0.0000
P  0.0000  0.5000  0.0000
P  0.0000  0.0000  0.5000
Pt  0.3369  0.3369  0.8980
Pt  0.8569  0.8569  0.4082
Pt  0.4082  0.8569  0.8569
Pt  0.8980  0.3369  0.3369
Pt  0.8569  0.4082  0.8569
Pt  0.3369  0.8980  0.3369
Pt  0.6631  0.6631  0.1020
Pt  0.1431  0.1431  0.5918
Pt  0.5918  0.1431  0.1431
Pt  0.1020  0.6631  0.6631
Pt  0.1431  0.5918  0.1431
Pt  0.6631  0.1020  0.6631


Entry 9:
The following is a DFT calculation (GGA-PBE) of a relaxed structure of Sm2Th3Sc3.

Its total energy is -49.54 eV/cell. Its space group is P-62m. The formation energy comes out at 143 meV/atom.

Cell lengths 3.5219, 8.8487, 8.8487 Å; angles 120.00, 90.00, 90.00 degrees
Fractional positions:
Sm  0.0000  0.6666  0.3333
Sm  0.0000  0.3333  0.6666
Th  0.0000  0.0000  0.7696
Th  0.0000  0.7696  0.0000
Th  0.0000  0.2303  0.2303
Sc  0.5000  0.9999  0.3909
Sc  0.5000  0.3909  0.9999
Sc  0.5000  0.6092  0.6092


Entry 10:
The following is a DFT calculation (GGA-PBE) of a relaxed structure of NdDyCoCu.

Its total energy is -21.18 eV/cell. Its space group is Amm2. The energy above the lowest structure with this stoichiometry is 0.000 eV per atom. The formation energy comes out at -151 meV/atom.

Cell lengths 3.8585, 4.3262, 5.4963 Å; angles 90.00, 110.55, 90.00 degrees
Fractional positions:
Nd  0.1440  0.0000  0.2880
Dy  0.8631  0.5000  0.7262
Co  0.4276  0.0000  0.8552
Cu  0.5653  0.5000  0.1306


Entry 11:
The following is a DFT calculation (GGA-PBE) of a relaxed structure of Li2LaSi2.

Its total energy is -41.90 eV/cell. Its space group is P4/mbm. The energy above the lowest structure with this stoichiometry is 0.226 eV per atom. The value obtained for the formation energy from raw total energies is -26 kJ per mole of atoms.

Cell lengths 7.9785, 7.9785, 2.8889 Å; angles 90.00, 90.00, 90.00 degrees
Fractional positions:
Si  0.1762  0.6762  0.5000
Si  0.6762  0.8238  0.5000
Si  0.8238  0.3238  0.5000
Si  0.3238  0.1762  0.5000
Li  0.3856  0.8856  0.0000
Li  0.8856  0.6144  0.0000
Li  0.6144  0.1144  0.0000
Li  0.1144  0.3856  0.0000
La  0.0000  0.0000  0.0000
La  0.5000  0.5000  0.0000


Entry 12:
The following is a DFT calculation (GGA-PBE) of a relaxed structure of Tb3Dy2Ho3.

Its total energy is -73.50 eV/cell. Its space group is Pmmn. The energy above the lowest structure with this stoichiometry is 0.000 eV per atom. The formation energy comes out at 10 meV/atom.

Cell lengths 6.2488, 8.4074, 14.4512 Å; angles 90.00, 90.00, 138.04 degrees
Fractional positions:
Tb  0.9162  0.7500  0.3753
Tb  0.0838  0.2500  0.8753
Tb  0.9162  0.7500  0.1247
Tb  0.0838  0.2500  0.6247
Tb  0.5832  0.2497  0.2500
Tb  0.4168  0.7503  0.7500
Dy  0.9174  0.7504  0.8751
Dy  0.0826  0.2496  0.3751
Dy  0.9174  0.7504  0.6249
Dy  0.0826  0.2496  0.1249
Ho  0.5838  0.2500  0.5001
Ho  0.4162  0.7500  0.0001
Ho  0.5838  0.2500  0.9999
Ho  0.4162  0.7500  0.4999
Ho  0.4152  0.7496  0.2500
Ho  0.5848  0.2504  0.7500


Entry 13:
The following is a DFT calculation (GGA-PBE) of a relaxed structure of Mn2VCo.

Its total energy is -33.08 eV/cell. Its space group is R-3m. The energy above the lowest structure with this stoichiometry is 0.461 eV per atom. The formation energy comes out at 371 meV/atom.

Cell lengths 2.5187, 2.5187, 8.7554 Å; angles 81.73, 81.73, 60.00 degrees
Each line ends with the local moment (μB).
Fractional positions:
Mn  0.0895  0.0895  0.7315  1.25
Mn  0.9105  0.9105  0.2685  1.25
Co  0.5000  0.5000  0.5000  0.67
V  0.0000  0.0000  0.0000  -0.07


Entry 14:
The following is a DFT calculation (GGA-PBE) of a relaxed structure of ZnSO4.

Its total energy is -33.79 eV/cell. Its space group is I-4. The value obtained for the formation energy from raw total energies is -138 kJ per mole of atoms.

Cell lengths 5.0127, 5.0127, 5.1871 Å; angles 118.89, 118.89, 90.00 degrees
Fractional positions:
Zn  0.7500  0.2500  0.5000
S  0.5000  0.5000  0.0000
O  0.4688  0.8113  0.2209
O  0.7522  0.4096  0.2209
O  0.1887  0.2478  0.7791
O  0.5904  0.5312  0.7791


Entry 15:
The following is a DFT calculation (GGA-PBE) of a relaxed structure of ZnCo2Ni.

Its total energy is -39.05 eV/cell. Its space group is I-42d. The formation energy comes out at 435 meV/atom.

Cell lengths 6.5389, 6.5389, 5.2132 Å; angles 51.16, 51.16, 90.00 degrees
Each line ends with the local moment (μB).
Fractional positions:
Ni  0.5000  0.5000  0.0000  0.63
Ni  0.2500  0.7500  0.5000  0.63
Zn  0.0000  0.0000  0.0000  -0.03
Zn  0.7500  0.2500  0.5000  -0.03
Co  0.6050  0.1250  0.2500  1.74
Co  0.1450  0.6250  0.2500  1.71
Co  0.3750  0.3950  0.7500  1.75
Co  0.8750  0.8550  0.7500  1.72


Entry 16:
The following is a DFT calculation (GGA-PBE) of a relaxed structure of Li2Ni8W.

Its total energy is -61.24 eV/cell. Its space group is Cmmm. The formation energy comes out at 163 meV/atom.

Cell lengths 3.7921, 5.9116, 5.9116 Å; angles 104.06, 89.98, 89.98 degrees
Each line ends with the local moment (μB).
Fractional positions:
Li  0.0000  0.6155  0.3845  0.00
Li  0.0000  0.3845  0.6155  0.00
Ni  0.0005  0.9630  0.6941  0.15
Ni  0.0005  0.6941  0.9630  0.15
Ni  0.5003  0.6677  0.6677  0.12
Ni  0.5000  0.2619  0.7381  0.11
Ni  0.5000  0.7381  0.2619  0.11
Ni  0.4997  0.3323  0.3323  0.12
Ni  0.9995  0.3059  0.0370  0.15
Ni  0.9995  0.0370  0.3059  0.15
W  0.5000  0.0000  0.0000  -0.03


Entry 17:
The following is a DFT calculation (GGA-PBE) of a relaxed structure of RhSe2N.

Its total energy is -18.43 eV/cell. Its space group is R-3m. The value obtained for the formation energy from raw total energies is 102 kJ per mole of atoms.

Cell lengths 7.9519, 7.9519, 7.9519 Å; angles 22.20, 22.20, 22.20 degrees
Fractional positions:
Rh  0.0000  0.0000  0.0000
Se  0.8978  0.8978  0.8978
Se  0.1022  0.1022  0.1022
N  0.5000  0.5000  0.5000


Entry 18:
The following is a DFT calculation (GGA-PBE) of a relaxed structure of ZnFeCl2.

Its total energy is -12.76 eV/cell. Its space group is Fm-3m. The energy above the lowest structure with this stoichiometry is 0.526 eV per atom. The value obtained for the formation energy from raw total energies is 16 kJ per mole of atoms.

Cell lengths 4.6454, 4.6454, 4.6454 Å; angles 60.00, 60.00, 60.00 degrees
Each line ends with the local moment (μB).
Fractional positions:
Zn  0.5000  0.5000  0.5000  -0.03
Fe  0.0000  0.0000  0.0000  3.05
Cl  0.2500  0.2500  0.2500  0.03
Cl  0.7500  0.7500  0.7500  0.03


Entry 19:
The following is a DFT calculation (GGA-PBE) of a relaxed structure of GaSiTe3.

Its total energy is -16.24 eV/cell. Its space group is Pm-3m. The value obtained for the formation energy from raw total energies is 31 kJ per mole of atoms.

Cell lengths 5.3326, 5.3326, 5.3326 Å; angles 90.00, 90.00, 90.00 degrees
Fractional positions:
Si  0.0000  0.0000  0.0000
Te  0.0000  0.5000  0.0000
Te  0.0000  0.0000  0.5000
Te  0.5000  0.0000  0.0000
Ga  0.5000  0.5000  0.5000


Entry 20:
The following is a DFT calculation (GGA-PBE) of a relaxed structure of Ir12Ru3Rh.

Its total energy is -142.08 eV/cell. Its space group is P4/mmm. The formation energy comes out at -35 meV/atom.

Cell lengths 3.8589, 3.8589, 15.4482 Å; angles 90.00, 90.00, 90.00 degrees
Fractional positions:
Ir  0.5000  0.5000  0.0000
Ir  0.5000  0.5000  0.2508
Ir  0.5000  0.5000  0.5000
Ir  0.5000  0.5000  0.7492
Ir  0.5000  0.0000  0.1264
Ir  0.5000  0.0000  0.3754
Ir  0.5000  0.0000  0.6246
Ir  0.5000  0.0000  0.8736
Ir  0.0000  0.5000  0.1264
Ir  0.0000  0.5000  0.3754
Ir  0.0000  0.5000  0.6246
Ir  0.0000  0.5000  0.8736
Ru  0.0000  0.0000  0.2483
Ru  0.0000  0.0000  0.5000
Ru  0.0000  0.0000  0.7517
Rh  0.0000  0.0000  0.0000


Entry 21:
The following is a DFT calculation (GGA-PBE) of a relaxed structure of TcPbAu.

Its total energy is -15.40 eV/cell. Its space group is P3m1. The energy above the lowest structure with this stoichiometry is 0.025 eV per atom. The formation energy comes out at 650 meV/atom.

Cell lengths 3.1165, 3.1165, 7.1284 Å; angles 90.00, 90.00, 120.00 degrees
Each line ends with the local moment (μB).
Fractional positions:
Au  0.0000  0.0000  0.9766  0.04
Pb  0.3333  0.6667  0.3491  -0.01
Tc  0.6667  0.3333  0.6743  0.87


Entry 22:
The following is a DFT calculation (GGA-PBE) of a relaxed structure of Li2HgPt.

Its total energy is -11.79 eV/cell. Its space group is Cm. The formation energy comes out at -405 meV/atom.

Cell lengths 4.9269, 4.9269, 4.7588 Å; angles 80.68, 80.68, 34.27 degrees
Fractional positions:
Hg  0.2464  0.2464  0.2313
Pt  0.4973  0.4973  0.5329
Li  0.9943  0.9943  0.0141
Li  0.7620  0.7620  0.7216


Entry 23:
The following is a DFT calculation (GGA-PBE) of a relaxed structure of LuMgGaGe.

Its total energy is -15.02 eV/cell. Its space group is F-43m. The formation energy comes out at -314 meV/atom.

Cell lengths 4.8875, 4.8875, 4.8875 Å; angles 60.00, 60.00, 60.00 degrees
Fractional positions:
Ge  0.2500  0.2500  0.2500
Lu  0.5000  0.5000  0.5000
Mg  0.0000  0.0000  0.0000
Ga  0.7500  0.7500  0.7500


Entry 24:
The following is a DFT calculation (GGA-PBE) of a relaxed structure of Pr2ErTl.

Its total energy is -16.84 eV/cell. Its space group is R3m. The energy above the lowest structure with this stoichiometry is 0.086 eV per atom. The formation energy comes out at -88 meV/atom.

Cell lengths 3.7038, 3.7038, 11.3389 Å; angles 80.60, 80.60, 60.00 degrees
Each line ends with the local moment (μB).
Fractional positions:
Pr  0.0805  0.0805  0.7586  0.03
Pr  0.2529  0.2529  0.2413  0.01
Er  0.5001  0.5001  0.4996  0.11
Tl  0.6665  0.6665  0.0006  0.00


Entry 25:
The following is a DFT calculation (GGA-PBE) of a relaxed structure of Ca2AcTm.

Its total energy is -12.03 eV/cell. Its space group is P4/mmm. The energy above the lowest structure with this stoichiometry is 0.027 eV per atom. The formation energy comes out at 138 meV/atom.

Cell lengths 4.2353, 4.2353, 8.6038 Å; angles 90.00, 90.00, 90.00 degrees
Fractional positions:
Ac  0.5000  0.5000  0.0000
Tm  0.5000  0.5000  0.5000
Ca  0.0000  0.0000  0.7274
Ca  0.0000  0.0000  0.2726